A relaxed structure of NaInC. Source: Alexandria, functional PBE-GGA.

Geometry as extended XYZ:
```
12
Lattice="3.089 0.000 0.000 0.000 25.126 0.000 0.000 0.000 3.853" Properties=species:S:1:pos:R:3 pbc="T T T"
Na 0.000 1.960 0.000
Na 0.000 23.166 0.000
Na 1.544 10.603 0.000
Na 1.544 14.523 0.000
In 0.000 7.837 1.927
In 0.000 17.289 1.927
In 1.544 4.726 1.927
In 1.544 20.400 1.927
C 0.000 0.634 1.927
C 0.000 24.491 1.927
C 1.544 11.929 1.927
C 1.544 13.197 1.927
```

Properties
Symmetry: No. 65
Formation enthalpy at 0 K (eV/atom): 0.65

=====

A relaxed structure of Be2CrH. Source: Alexandria, functional PBE-GGA.

Geometry as extended XYZ:
```
16
Lattice="5.228 0.000 0.000 0.000 5.228 0.000 0.000 0.000 5.228" Properties=species:S:1:pos:R:3 pbc="T T T"
Be 1.307 1.307 1.307
Be 1.307 1.307 3.921
Be 1.307 3.921 1.307
Be 1.307 3.921 3.921
Be 3.921 1.307 1.307
Be 3.921 1.307 3.921
Be 3.921 3.921 1.307
Be 3.921 3.921 3.921
Cr 0.000 0.000 0.000
Cr 0.000 2.614 2.614
Cr 2.614 0.000 2.614
Cr 2.614 2.614 0.000
H 0.000 0.000 2.614
H 0.000 2.614 0.000
H 2.614 0.000 0.000
H 2.614 2.614 2.614
```

Properties
Symmetry: No. 225
Final energy (eV/cell): -66.899

=====

A relaxed structure of ZnMo2Os. Source: Alexandria, functional PBE-GGA.

Geometry as extended XYZ:
```
16
Lattice="6.220 0.000 0.000 0.000 6.220 0.000 0.000 0.000 6.220" Properties=species:S:1:pos:R:3 pbc="T T T"
Zn 0.000 0.000 0.000
Zn 0.000 3.110 3.110
Zn 3.110 0.000 3.110
Zn 3.110 3.110 0.000
Mo 0.000 0.000 3.110
Mo 0.000 3.110 0.000
Mo 1.555 1.555 4.665
Mo 1.555 4.665 1.555
Mo 3.110 0.000 0.000
Mo 3.110 3.110 3.110
Mo 4.665 1.555 1.555
Mo 4.665 4.665 4.665
Os 1.555 1.555 1.555
Os 1.555 4.665 4.665
Os 4.665 1.555 4.665
Os 4.665 4.665 1.555
```

Properties
Symmetry: No. 216
Formation enthalpy at 0 K (eV/atom): 0.21

=====

A relaxed structure of AsPb2. Source: Alexandria, functional PBE-GGA.

Geometry as extended XYZ:
```
6
Lattice="0.000 4.504 4.504 4.504 0.000 4.504 4.504 4.504 0.000" Properties=species:S:1:pos:R:3 pbc="T T T"
As 1.126 1.126 1.126
As 7.882 7.882 7.882
Pb 4.504 2.252 2.252
Pb 2.252 4.504 2.252
Pb 2.252 2.252 4.504
Pb 4.504 4.504 4.504
```

Properties
Symmetry: No. 227
Formation enthalpy at 0 K (eV/atom): 0.55

=====

A relaxed structure of La2Pb2Au. Source: Alexandria, functional PBE-GGA.

Geometry as extended XYZ:
```
10
Lattice="7.874 0.000 0.000 0.000 7.874 0.000 0.000 0.000 4.872" Properties=species:S:1:pos:R:3 pbc="T T T"
La 1.342 2.596 0.000
La 2.596 6.533 0.000
La 5.279 1.342 0.000
La 6.533 5.279 0.000
Pb 1.094 5.031 2.436
Pb 2.843 1.094 2.436
Pb 5.031 6.781 2.436
Pb 6.781 2.843 2.436
Au 0.000 0.000 2.436
Au 3.937 3.937 2.436
```

Properties
Symmetry: No. 127
Formation enthalpy at 0 K (eV/atom): -0.53

=====

A relaxed structure of LaSm2Th. Source: Alexandria, functional PBE-GGA.

Geometry as extended XYZ:
```
4
Lattice="3.616 0.000 0.000 0.000 3.616 0.000 0.000 0.000 10.471" Properties=species:S:1:pos:R:3 pbc="T T T"
La 0.000 0.000 0.000
Sm 1.808 1.808 2.780
Sm 1.808 1.808 7.692
Th 0.000 0.000 5.236
```

Properties
Symmetry: No. 123
Formation enthalpy at 0 K (eV/atom): 0.03

=====

A relaxed structure of Ac4NdY. Source: Alexandria, functional PBE-GGA.

Geometry as extended XYZ:
```
12
Lattice="12.336 0.000 0.000 0.000 12.342 0.000 0.000 0.000 3.818" Properties=species:S:1:pos:R:3 pbc="T T T"
Ac 0.000 2.899 0.000
Ac 0.000 9.443 0.000
Ac 2.927 6.171 1.909
Ac 3.242 0.000 1.909
Ac 6.168 3.272 0.000
Ac 6.168 9.070 0.000
Ac 9.095 0.000 1.909
Ac 9.410 6.171 1.909
Nd 0.000 6.171 0.000
Nd 6.168 0.000 0.000
Y 0.000 0.000 1.909
Y 6.168 6.171 1.909
```

Properties
Symmetry: No. 65
Formation enthalpy at 0 K (eV/atom): 0.53

=====

A relaxed structure of CaAgGeBr5. Source: Alexandria, functional PBE-GGA.

Geometry as extended XYZ:
```
16
Lattice="3.588 -7.108 0.000 3.588 7.108 0.000 -1.865 0.000 9.711" Properties=species:S:1:pos:R:3 pbc="T T T"
Ca 0.000 0.000 0.000
Ca -0.933 0.000 4.855
Ag 2.189 2.705 7.283
Ag 3.122 -2.705 2.428
Ge 3.122 0.930 2.428
Ge 2.189 -0.930 7.283
Br 1.282 2.378 1.365
Br 3.122 5.781 2.428
Br 1.596 1.496 4.926
Br 0.349 -2.378 6.220
Br 2.529 -1.496 0.071
Br 2.783 1.496 9.640
Br 4.962 2.378 3.490
Br 3.715 -1.496 4.784
Br 2.189 -5.781 7.283
Br 4.030 -2.378 8.346
```

Properties
Symmetry: No. 15
Uncorrected formation energy (eV per atom): -0.9796